A plane-wave DFT calculation with PBE+U was carried out for Fe2SO6 after structural relaxation.

Computed properties:
Crystal system: orthorhombic
Final energy (eV per formula unit): -55.4
Theoretical density (g/cm3): 4.240

Cell: 4.8424 4.8837 7.9399 Å, 90.00 90.00 90.00°
Space group Pnnm (No. 58)
Inequivalent atoms, fractional coordinates:
Fe: 0.0000 0.0000 0.2009 (multiplicity 4)
S: 0.0000 0.5000 0.0000 (multiplicity 2)
O: 0.1844 0.2167 0.0000 (multiplicity 4)
O: 0.2014 0.6440 0.1520 (multiplicity 8)